Entry 1:
A plane-wave DFT calculation with PBE was carried out for crystalline Ac2NdSi3Pt4 at its relaxed geometry.

Cell: 4.418 4.418 11.065 Å, 90.00 90.00 90.00°
Atoms (fractional coordinates):
Pt  0.500  0.000  0.670
Ac  0.000  0.500  0.772
Ac  0.500  0.000  0.228
Si  0.000  0.000  0.500
Nd  0.500  0.500  0.500
Pt  0.000  0.000  0.000
Pt  0.000  0.500  0.330
Pt  0.500  0.500  0.000
Si  0.000  0.500  0.110
Si  0.500  0.000  0.890

Output
Magnetization ... 0.0 μB/f.u.
Uncorrected formation energy ... -0.99 eV per atom
Energy ... -63.343 eV per cell

=====

Entry 2:
A plane-wave DFT calculation with PBE was carried out for crystalline La2VCuPb at its relaxed geometry.

Cell: 5.510 4.826 5.510 Å, 90.00 90.00 90.00°
Last column: magnetic moment on the atom in μB.
Atoms (fractional coordinates):
La  0.500  0.000  0.000  -0.02
Pb  0.500  0.500  0.500  0.07
Cu  0.000  0.000  0.000  -0.09
La  0.000  0.000  0.500  -0.01
V  0.000  0.500  0.000  -2.61

Output
Magnetization ... 3.4 μB/f.u.
Energy ... -25.941 eV per cell
Calculated formation energy ... 0.17 eV per atom

=====

Entry 3:
A plane-wave DFT calculation with PBE was carried out for crystalline Sm4YBi3 at its relaxed geometry.

Cell: 4.599 10.206 9.689 Å, 142.20 103.73 90.00°
Atoms (fractional coordinates):
Bi  0.329  0.857  0.658
Bi  0.500  0.500  0.000
Y  0.000  0.000  0.000
Sm  0.650  0.455  0.300
Bi  0.671  0.143  0.342
Sm  0.350  0.545  0.700
Sm  0.128  0.854  0.257
Sm  0.872  0.146  0.743

Output
Magnetization ... 0.0 μB/f.u.
Energy ... -42.172 eV per cell
Calculated formation energy ... -0.65 eV per atom

=====

Please write out number 3 again, unchanged.
A plane-wave DFT calculation with PBE was carried out for crystalline Sm4YBi3 at its relaxed geometry.

Cell: 4.599 10.206 9.689 Å, 142.20 103.73 90.00°
Atoms (fractional coordinates):
Bi  0.329  0.857  0.658
Bi  0.500  0.500  0.000
Y  0.000  0.000  0.000
Sm  0.650  0.455  0.300
Bi  0.671  0.143  0.342
Sm  0.350  0.545  0.700
Sm  0.128  0.854  0.257
Sm  0.872  0.146  0.743

Output
Magnetization ... 0.0 μB/f.u.
Energy ... -42.172 eV per cell
Calculated formation energy ... -0.65 eV per atom

=====

> energy of number 1 (Ac2NdSi3Pt4)?

-63.343 eV per cell